P | The following is a PBE-GGA calculation of a geometry-optimized CsTl2Cu2 structure, from the Alexandria database.

Cell lengths 8.946, 8.946, 3.402 Å; angles 90.00, 90.00, 90.00 degrees
Fractional coordinates of all 10 atoms:
Cs  0.000  0.000  0.000
Cs  0.500  0.500  0.000
Tl  0.129  0.371  0.000
Tl  0.371  0.871  0.000
Tl  0.629  0.129  0.000
Tl  0.871  0.629  0.000
Cu  0.155  0.655  0.500
Cu  0.345  0.155  0.500
Cu  0.655  0.845  0.500
Cu  0.845  0.345  0.500

Its size of the total moment is 0.00 μB per formula unit.



Q | The following is a PBE-GGA calculation of a geometry-optimized CsTl2Cu2 structure, from the Alexandria database.

Cell lengths 5.006, 5.006, 12.040 Å; angles 90.00, 90.00, 90.00 degrees
Fractional coordinates of all 10 atoms:
Cs  0.000  0.000  0.000
Cs  0.500  0.500  0.500
Tl  0.000  0.000  0.341
Tl  0.000  0.000  0.659
Tl  0.500  0.500  0.159
Tl  0.500  0.500  0.841
Cu  0.000  0.500  0.250
Cu  0.000  0.500  0.750
Cu  0.500  0.000  0.250
Cu  0.500  0.000  0.750

Its size of the total moment is 0.00 μB per formula unit.



Sorted by energy, starting with the most stable: Q, P.



P | The following is a PBE-GGA calculation of a geometry-optimized CsTl2Cu2 structure, from the Alexandria database.

Cell lengths 5.042, 5.042, 11.156 Å; angles 90.00, 90.00, 90.00 degrees
Fractional coordinates of all 10 atoms:
Cs  0.000  0.000  0.000
Cs  0.500  0.500  0.500
Tl  0.000  0.500  0.250
Tl  0.000  0.500  0.750
Tl  0.500  0.000  0.250
Tl  0.500  0.000  0.750
Cu  0.000  0.000  0.388
Cu  0.000  0.000  0.612
Cu  0.500  0.500  0.112
Cu  0.500  0.500  0.888

Its size of the total moment is 0.00 μB per formula unit.



Q | The following is a PBE-GGA calculation of a geometry-optimized CsTl2Cu2 structure, from the Alexandria database.

Cell lengths 8.788, 8.788, 3.773 Å; angles 90.00, 90.00, 90.00 degrees
Fractional coordinates of all 10 atoms:
Cs  0.000  0.000  0.000
Cs  0.500  0.500  0.000
Tl  0.147  0.353  0.500
Tl  0.353  0.853  0.500
Tl  0.647  0.147  0.500
Tl  0.853  0.647  0.500
Cu  0.100  0.600  0.000
Cu  0.400  0.100  0.000
Cu  0.600  0.900  0.000
Cu  0.900  0.400  0.000

Its size of the total moment is 0.00 μB per formula unit.



Sorted by energy, starting with the most stable: P, Q.



P | The following is a PBE-GGA calculation of a geometry-optimized CsCuW2 structure, from the Alexandria database.

Cell lengths 6.556, 6.556, 6.556 Å; angles 90.00, 90.00, 90.00 degrees
Fractional coordinates of all 16 atoms:
Cs  0.000  0.000  0.000
Cs  0.000  0.500  0.500
Cs  0.500  0.000  0.500
Cs  0.500  0.500  0.000
Cu  0.000  0.000  0.500
Cu  0.000  0.500  0.000
Cu  0.500  0.000  0.000
Cu  0.500  0.500  0.500
W  0.250  0.250  0.250
W  0.250  0.250  0.750
W  0.250  0.750  0.250
W  0.250  0.750  0.750
W  0.750  0.250  0.250
W  0.750  0.250  0.750
W  0.750  0.750  0.250
W  0.750  0.750  0.750

Its size of the total moment is 0.00 μB per formula unit.



Q | The following is a PBE-GGA calculation of a geometry-optimized CsCuW2 structure, from the Alexandria database.

Cell lengths 4.107, 4.107, 20.924 Å; angles 90.00, 90.00, 90.00 degrees
Fractional coordinates of all 16 atoms:
Cs  0.000  0.000  0.000
Cs  0.000  0.500  0.250
Cs  0.500  0.000  0.750
Cs  0.500  0.500  0.500
Cu  0.000  0.000  0.500
Cu  0.000  0.500  0.750
Cu  0.500  0.000  0.250
Cu  0.500  0.500  0.000
W  0.174  0.250  0.625
W  0.250  0.674  0.875
W  0.250  0.826  0.375
W  0.326  0.250  0.125
W  0.674  0.750  0.125
W  0.750  0.174  0.375
W  0.750  0.326  0.875
W  0.826  0.750  0.625

Its size of the total moment is 0.00 μB per formula unit.



Sorted by energy, starting with the most stable: Q, P.



P | The following is a PBE-GGA calculation of a geometry-optimized CsCuW3 structure, from the Alexandria database.

Cell lengths 4.794, 4.794, 4.794 Å; angles 90.00, 90.00, 90.00 degrees
Fractional coordinates of all 5 atoms:
Cs  0.000  0.000  0.000
Cu  0.500  0.500  0.500
W  0.000  0.500  0.500
W  0.500  0.000  0.500
W  0.500  0.500  0.000

Its size of the total moment is 3.32 μB per formula unit.



Q | The following is a PBE-GGA calculation of a geometry-optimized CsCuW3 structure, from the Alexandria database.

Cell lengths 4.893, 4.893, 4.893 Å; angles 90.00, 90.00, 90.00 degrees
Fractional coordinates of all 5 atoms:
Cs  0.000  0.000  0.000
Cu  0.500  0.500  0.500
W  0.000  0.000  0.500
W  0.000  0.500  0.000
W  0.500  0.000  0.000

Its size of the total moment is 0.00 μB per formula unit.



Sorted by energy, starting with the most stable: P, Q.



P | The following is a PBE-GGA calculation of a geometry-optimized CsZrCu3 structure, from the Alexandria database.

Cell lengths 5.111, 5.111, 5.111 Å; angles 90.00, 90.00, 90.00 degrees
Fractional coordinates of all 5 atoms:
Cs  0.000  0.000  0.000
Zr  0.500  0.500  0.500
Cu  0.000  0.000  0.500
Cu  0.000  0.500  0.000
Cu  0.500  0.000  0.000

Its size of the total moment is 2.03 μB per formula unit.



Q | The following is a PBE-GGA calculation of a geometry-optimized CsZrCu3 structure, from the Alexandria database.

Cell lengths 5.268, 5.268, 5.268 Å; angles 90.00, 90.00, 90.00 degrees
Fractional coordinates of all 5 atoms:
Cs  0.000  0.000  0.000
Zr  0.500  0.500  0.500
Cu  0.000  0.500  0.500
Cu  0.500  0.000  0.500
Cu  0.500  0.500  0.000

Its size of the total moment is 0.21 μB per formula unit.



Sorted by energy, starting with the most stable: Q, P.



P | The following is a PBE-GGA calculation of a geometry-optimized Cs2DyF5 structure, from the Alexandria database.

Cell lengths 7.181, 7.181, 8.589 Å; angles 90.00, 90.00, 90.00 degrees
Fractional coordinates of all 16 atoms:
Cs  0.000  0.500  0.000
Cs  0.000  0.500  0.500
Cs  0.500  0.000  0.000
Cs  0.500  0.000  0.500
Dy  0.000  0.000  0.250
Dy  0.500  0.500  0.750
F  0.000  0.000  0.011
F  0.204  0.204  0.316
F  0.204  0.796  0.316
F  0.296  0.296  0.816
F  0.296  0.704  0.816
F  0.500  0.500  0.511
F  0.704  0.296  0.816
F  0.704  0.704  0.816
F  0.796  0.204  0.316
F  0.796  0.796  0.316

Its size of the total moment is 0.21 μB per formula unit.



Q | The following is a PBE-GGA calculation of a geometry-optimized Cs2DyF5 structure, from the Alexandria database.

Cell lengths 8.479, 6.451, 13.211 Å; angles 90.00, 90.00, 90.00 degrees
Fractional coordinates of all 32 atoms:
Cs  0.002  0.250  0.238
Cs  0.153  0.250  0.587
Cs  0.347  0.750  0.087
Cs  0.498  0.750  0.738
Cs  0.502  0.250  0.262
Cs  0.653  0.250  0.913
Cs  0.847  0.750  0.413
Cs  0.998  0.750  0.762
Dy  0.165  0.250  0.939
Dy  0.335  0.750  0.439
Dy  0.665  0.250  0.561
Dy  0.835  0.750  0.061
F  0.000  0.000  0.000
F  0.000  0.500  0.000
F  0.025  0.250  0.803
F  0.178  0.508  0.392
F  0.178  0.992  0.392
F  0.230  0.750  0.592
F  0.270  0.250  0.092
F  0.322  0.008  0.892
F  0.322  0.492  0.892
F  0.475  0.750  0.303
F  0.500  0.000  0.500
F  0.500  0.500  0.500
F  0.525  0.250  0.697
F  0.678  0.508  0.108
F  0.678  0.992  0.108
F  0.730  0.750  0.908
F  0.770  0.250  0.408
F  0.822  0.008  0.608
F  0.822  0.492  0.608
F  0.975  0.750  0.197

Its size of the total moment is 0.17 μB per formula unit.



Sorted by energy, starting with the most stable: Q, P.



P | The following is a PBE-GGA calculation of a geometry-optimized CsDyI4 structure, from the Alexandria database.

Cell lengths 11.818, 11.818, 8.742 Å; angles 90.00, 90.00, 149.92 degrees
Fractional coordinates of all 12 atoms:
Cs  0.152  0.848  0.500
Cs  0.848  0.152  0.000
Dy  0.410  0.590  0.439
Dy  0.590  0.410  0.939
I  0.077  0.923  0.927
I  0.301  0.699  0.255
I  0.343  0.657  0.723
I  0.472  0.528  0.113
I  0.528  0.472  0.613
I  0.657  0.343  0.223
I  0.699  0.301  0.755
I  0.923  0.077  0.427

Its size of the total moment is 0.00 μB per formula unit.



Q | The following is a PBE-GGA calculation of a geometry-optimized CsDyI4 structure, from the Alexandria database.

Cell lengths 10.749, 10.749, 7.933 Å; angles 97.87, 97.87, 115.53 degrees
Fractional coordinates of all 12 atoms:
Cs  0.248  0.752  0.750
Cs  0.752  0.248  0.250
Dy  0.066  0.934  0.250
Dy  0.934  0.066  0.750
I  0.005  0.647  0.301
I  0.094  0.207  0.132
I  0.207  0.094  0.632
I  0.353  0.995  0.199
I  0.647  0.005  0.801
I  0.793  0.906  0.368
I  0.906  0.793  0.868
I  0.995  0.353  0.699

Its size of the total moment is 0.00 μB per formula unit.



Sorted by energy, starting with the most stable: Q, P.



P | The following is a PBE-GGA calculation of a geometry-optimized Cs3DyO3 structure, from the Alexandria database.

Cell lengths 7.873, 15.212, 7.561 Å; angles 90.00, 116.42, 90.00 degrees
Fractional coordinates of all 28 atoms:
Cs  0.030  0.188  0.396
Cs  0.030  0.312  0.896
Cs  0.230  0.042  0.982
Cs  0.230  0.458  0.482
Cs  0.424  0.699  0.651
Cs  0.424  0.801  0.151
Cs  0.576  0.199  0.849
Cs  0.576  0.301  0.349
Cs  0.770  0.542  0.518
Cs  0.770  0.958  0.018
Cs  0.970  0.688  0.104
Cs  0.970  0.812  0.604
Dy  0.338  0.561  0.017
Dy  0.338  0.939  0.517
Dy  0.662  0.061  0.483
Dy  0.662  0.439  0.983
O  0.130  0.634  0.780
O  0.130  0.866  0.280
O  0.336  0.601  0.287
O  0.336  0.899  0.787
O  0.383  0.081  0.476
O  0.383  0.419  0.976
O  0.617  0.581  0.024
O  0.617  0.919  0.524
O  0.664  0.101  0.213
O  0.664  0.399  0.713
O  0.870  0.134  0.720
O  0.870  0.366  0.220

Its size of the total moment is 0.00 μB per formula unit.



Q | The following is a PBE-GGA calculation of a geometry-optimized Cs3DyO3 structure, from the Alexandria database.

Cell lengths 8.224, 7.695, 12.395 Å; angles 90.00, 95.32, 90.00 degrees
Fractional coordinates of all 28 atoms:
Cs  0.062  0.125  0.157
Cs  0.062  0.375  0.657
Cs  0.346  0.154  0.922
Cs  0.346  0.346  0.422
Cs  0.383  0.677  0.810
Cs  0.383  0.823  0.310
Cs  0.617  0.177  0.690
Cs  0.617  0.323  0.190
Cs  0.654  0.654  0.578
Cs  0.654  0.846  0.078
Cs  0.938  0.625  0.343
Cs  0.938  0.875  0.843
Dy  0.154  0.591  0.071
Dy  0.154  0.909  0.571
Dy  0.846  0.091  0.429
Dy  0.846  0.409  0.929
O  0.111  0.053  0.417
O  0.111  0.447  0.917
O  0.242  0.651  0.552
O  0.242  0.849  0.052
O  0.292  0.044  0.698
O  0.292  0.456  0.198
O  0.708  0.544  0.802
O  0.708  0.956  0.302
O  0.758  0.151  0.948
O  0.758  0.349  0.448
O  0.889  0.553  0.083
O  0.889  0.947  0.583

Its size of the total moment is 0.08 μB per formula unit.



Sorted by energy, starting with the most stable: Q, P.



P | The following is a PBE-GGA calculation of a geometry-optimized CsDy2Se3 structure, from the Alexandria database.

Cell lengths 7.763, 4.160, 11.212 Å; angles 90.00, 103.62, 90.00 degrees
Fractional coordinates of all 12 atoms:
Cs  0.028  0.250  0.343
Cs  0.972  0.750  0.657
Dy  0.260  0.250  0.993
Dy  0.499  0.750  0.315
Dy  0.501  0.250  0.685
Dy  0.740  0.750  0.007
Se  0.150  0.750  0.135
Se  0.331  0.750  0.526
Se  0.392  0.750  0.848
Se  0.608  0.250  0.152
Se  0.669  0.250  0.474
Se  0.850  0.250  0.865

Its size of the total moment is 0.00 μB per formula unit.



Q | The following is a PBE-GGA calculation of a geometry-optimized CsDy2Se3 structure, from the Alexandria database.

Cell lengths 7.496, 7.496, 7.620 Å; angles 90.00, 90.00, 59.99 degrees
Fractional coordinates of all 12 atoms:
Cs  0.001  0.999  0.750
Cs  0.999  0.001  0.250
Dy  0.333  0.333  0.000
Dy  0.333  0.333  0.500
Dy  0.667  0.667  0.000
Dy  0.667  0.667  0.500
Se  0.000  0.499  0.750
Se  0.000  0.501  0.250
Se  0.499  0.000  0.250
Se  0.499  0.501  0.750
Se  0.501  0.000  0.750
Se  0.501  0.499  0.250

Its size of the total moment is 0.00 μB per formula unit.



Sorted by energy, starting with the most stable: Q, P.



P | The following is a PBE-GGA calculation of a geometry-optimized CsDyTl2 structure, from the Alexandria database.

Cell lengths 3.867, 3.867, 33.472 Å; angles 90.00, 90.00, 120.00 degrees
Fractional coordinates of all 12 atoms:
Cs  0.000  0.000  0.000
Cs  0.333  0.667  0.667
Cs  0.667  0.333  0.333
Dy  0.000  0.000  0.500
Dy  0.333  0.667  0.167
Dy  0.667  0.333  0.833
Tl  0.000  0.000  0.238
Tl  0.000  0.000  0.762
Tl  0.333  0.667  0.429
Tl  0.333  0.667  0.905
Tl  0.667  0.333  0.095
Tl  0.667  0.333  0.571

Its size of the total moment is 0.00 μB per formula unit.



Q | The following is a PBE-GGA calculation of a geometry-optimized CsDyTl2 structure, from the Alexandria database.

Cell lengths 3.926, 3.926, 9.262 Å; angles 90.00, 90.00, 90.00 degrees
Fractional coordinates of all 4 atoms:
Cs  0.000  0.000  0.000
Dy  0.000  0.000  0.500
Tl  0.500  0.500  0.311
Tl  0.500  0.500  0.689

Its size of the total moment is 0.03 μB per formula unit.



Sorted by energy, starting with the most stable: Q, P.